Entry 1:
SrCuGe3: optimized geometry, PBE.

Calculated values
Density of states at the Fermi level (states/eV per atom): 0.47
Crystal system: hexagonal
ΔE_f (eV per atom): -0.170
Density (g/cm³): 5.8

a b c (Å): 6.171 6.308 6.308
angles (deg): 120.00 90.00 90.00
Fractional coordinates of all 10 atoms:
Ge (0.250, 0.805, 0.609)
Ge (0.750, 0.195, 0.391)
Ge (0.250, 0.391, 0.195)
Ge (0.250, 0.805, 0.195)
Ge (0.750, 0.609, 0.805)
Ge (0.750, 0.195, 0.805)
Cu (0.500, 0.000, 0.000)
Cu (0.000, 0.000, 0.000)
Sr (0.250, 0.333, 0.667)
Sr (0.750, 0.667, 0.333)

---

Entry 2:
SrCuGe: optimized geometry, PBE.

Calculated values
Density of states at the Fermi level (states/eV per atom): 0.33
Crystal system: orthorhombic
ΔE_f (eV per atom): -0.382
Density (g/cm³): 5.6

a b c (Å): 4.516 5.879 5.879
angles (deg): 82.52 67.41 67.41
Fractional coordinates of all 6 atoms:
Cu (0.216, 0.763, 0.805)
Cu (0.784, 0.195, 0.237)
Ge (0.695, 0.620, 0.990)
Ge (0.305, 0.010, 0.380)
Sr (0.500, 0.182, 0.818)
Sr (0.000, 0.610, 0.390)

---

Entry 3:
SrCu3Ge: optimized geometry, PBE.

Calculated values
Density of states at the Fermi level (states/eV per atom): 0.56
Crystal system: cubic
ΔE_f (eV per atom): 1.470
Density (g/cm³): 4.1

a b c (Å): 5.230 5.230 5.230
angles (deg): 90.00 90.00 90.00
Fractional coordinates of all 5 atoms:
Cu (0.000, 0.000, 0.500)
Cu (0.000, 0.500, 0.000)
Cu (0.500, 0.000, 0.000)
Sr (0.000, 0.000, 0.000)
Ge (0.500, 0.500, 0.500)